The following is a PBE with a Hubbard U calculation of a geometry-optimized Li4Ni5SbO12 structure, from Alexandria.

Calculated values
Total energy in eV/f.u.: -110.79
Crystal system: monoclinic
DOS(E_F) in states/eV/f.u.: 8.22
Space-group type: C2/m, No. 12

Unit cell a=5.0615 b=5.0615 c=9.9595 alpha=94.50 beta=94.50 gamma=119.50
Last column: nearest neighbours and their distance in Å.
Sites, in units of the cell vectors:
O1 0.1338 0.4927 0.3949  3 Ni 1.89-2.05, 1 Li 2.07
O2 0.7920 0.7920 0.4024  3 Ni 1.90-1.95
O3 0.3711 0.3711 0.1100  2 Ni 2.00, 1 Sb 2.03
O4 0.7080 0.0433 0.1131  2 Ni 2.00-2.07, 1 Sb 2.01, 2 Li 2.18-2.19
O5 0.0433 0.7080 0.1131  2 Ni 2.00-2.07, 1 Sb 2.01, 2 Li 2.18-2.19
O6 0.2080 0.2080 0.5976  3 Ni 1.90-1.95
O7 0.2920 0.9567 0.8869  2 Ni 2.00-2.07, 1 Sb 2.01, 2 Li 2.18-2.19
O8 0.8662 0.5073 0.6051  3 Ni 1.89-2.05, 1 Li 2.07
O9 0.4927 0.1338 0.3949  3 Ni 1.89-2.05, 1 Li 2.07
O10 0.9567 0.2920 0.8869  2 Ni 2.00-2.07, 1 Sb 2.01, 2 Li 2.18-2.19
O11 0.6289 0.6289 0.8900  2 Ni 2.00, 1 Sb 2.03
O12 0.5073 0.8662 0.6051  3 Ni 1.89-2.05, 1 Li 2.07
Sb1 0.0000 0.0000 0.0000  6 O 2.01-2.03
Li1 0.4198 0.7668 0.2583  6 O 2.07-2.29
Li2 0.7668 0.4198 0.2583  6 O 2.07-2.29
Li3 0.2332 0.5802 0.7417  6 O 2.07-2.29
Li4 0.5802 0.2332 0.7417  6 O 2.07-2.29
Ni1 0.8355 0.1645 0.5000  6 O 1.89-2.05
Ni2 0.1645 0.8355 0.5000  6 O 1.89-2.05
Ni3 0.3329 0.6671 0.0000  6 O 2.00-2.07
Ni4 0.5000 0.5000 0.5000  6 O 1.90-2.04
Ni5 0.6671 0.3329 0.0000  6 O 2.00-2.07